DFT (PBE) results for a relaxed HfSe6Br12 crystal.

a = 9.7135 Å, b = 9.7135 Å, c = 9.7135 Å
α = 66.95°, β = 66.95°, γ = 66.95°
Fractional coordinates of all 19 atoms:
Br  0.5392  0.0177  0.6999
Se  0.7772  0.7084  0.5135
Br  0.0177  0.6999  0.5392
Se  0.7084  0.5135  0.7772
Se  0.4865  0.2228  0.2916
Br  0.2450  0.8486  0.1078
Br  0.9823  0.3001  0.4608
Br  0.7550  0.1514  0.8922
Se  0.5135  0.7772  0.7084
Br  0.8922  0.7550  0.1514
Br  0.4608  0.9823  0.3001
Hf  0.0000  0.0000  0.0000
Br  0.6999  0.5392  0.0177
Br  0.3001  0.4608  0.9823
Br  0.1514  0.8922  0.7550
Br  0.8486  0.1078  0.2450
Se  0.2916  0.4865  0.2228
Br  0.1078  0.2450  0.8486
Se  0.2228  0.2916  0.4865

Output
- Calculated volume: 39.19 Å³ per atom
- ΔE_f (raw): -325.8 meV/atom
- Space group: R-3

DFT (PBE) results for a relaxed HfSeBr3 crystal.

a = 7.3823 Å, b = 8.4448 Å, c = 13.3037 Å
α = 87.20°, β = 83.59°, γ = 64.08°
Fractional coordinates of all 20 atoms:
Se  0.0476  0.6248  0.3020
Br  0.4878  0.7213  0.4283
Se  0.9524  0.3752  0.6980
Hf  0.1518  0.8679  0.3619
Br  0.5122  0.2787  0.5717
Br  0.0504  0.1750  0.4634
Br  0.2091  0.2787  0.9283
Hf  0.9803  0.8679  0.1381
Se  0.6725  0.3752  0.8020
Br  0.7412  0.0623  0.2930
Hf  0.0197  0.1321  0.8619
Br  0.2254  0.8250  0.9634
Br  0.1964  0.0623  0.2070
Se  0.3275  0.6248  0.1980
Hf  0.8482  0.1321  0.6381
Br  0.9496  0.8250  0.5366
Br  0.7909  0.7213  0.0717
Br  0.8036  0.9377  0.7930
Br  0.7746  0.1750  0.0366
Br  0.2588  0.9377  0.7070

Output
- Calculated volume: 37.06 Å³ per atom
- ΔE_f (raw): -1202.6 meV/atom
- Space group: C2/c

DFT (PBE) results for a relaxed HfSiSeBr2 crystal.

a = 4.9642 Å, b = 4.9642 Å, c = 5.1402 Å
α = 90.00°, β = 90.00°, γ = 90.00°
Fractional coordinates of all 5 atoms:
Si  0.0000  0.0000  0.0000
Hf  0.5000  0.5000  0.5000
Se  0.0000  0.0000  0.5000
Br  0.5000  0.0000  0.0000
Br  0.0000  0.5000  0.0000

Output
- ΔE to the lowest computed polymorph: 524 meV/atom
- Calculated volume: 25.33 Å³ per atom
- ΔE_f (raw): 458.5 meV/atom
- Space group: P4/mmm

DFT (PBE) results for a relaxed HfSiSe2Br crystal.

a = 4.8886 Å, b = 4.8886 Å, c = 4.7977 Å
α = 90.00°, β = 90.00°, γ = 90.00°
Fractional coordinates of all 5 atoms:
Si  0.0000  0.0000  0.0000
Br  0.0000  0.0000  0.5000
Se  0.0000  0.5000  0.0000
Hf  0.5000  0.5000  0.5000
Se  0.5000  0.0000  0.0000

Output
- ΔE to the lowest computed polymorph: 421 meV/atom
- Calculated volume: 22.93 Å³ per atom
- ΔE_f (raw): 313.9 meV/atom
- Space group: P4/mmm